# 1
First-principles (GGA-PBE) data for Tm6Te3PbSe2 after structural relaxation, as listed in Alexandria via LeMat-Bulk. Values from VASP.

Values from the calculation:
space-group type: No. 12
VASP energy: -5.153 eV/atom

Quantum ESPRESSO input file:
```
&SYSTEM
  ibrav = 0, nat = 12, ntyp = 4
/
ATOMIC_SPECIES
Tm 168.93 Tm.upf
Se 78.96 Se.upf
Te 127.60 Te.upf
Pb 207.20 Pb.upf
CELL_PARAMETERS angstrom
-2.0459 1.7081 -6.7654
-2.8270 -5.8457 3.2727
-3.5822 5.3366 3.7371
ATOMIC_POSITIONS angstrom
Tm -6.2965 2.3279 -1.4701
Se -2.5675 -3.3364 -0.0619
Tm -6.5668 -0.2871 2.0050
Se -2.3054 -0.8012 -3.4308
Tm -2.1586 -1.1289 1.7145
Te -4.4914 -1.9520 3.5129
Te -3.9637 3.1510 -3.2685
Tm -4.3414 -1.8210 -1.7081
Te -4.2275 0.5995 0.1222
Tm -1.8882 1.4861 -1.7606
Tm -4.1137 3.0200 1.9525
Pb 0.0000 0.0000 0.0000
```

# 2
First-principles (GGA-PBE) data for Y6TePb2Se3 after structural relaxation, as listed in Alexandria via LeMat-Bulk. Values from VASP.

Values from the calculation:
space-group type: No. 12
VASP energy: -6.269 eV/atom

Quantum ESPRESSO input file:
```
&SYSTEM
  ibrav = 0, nat = 12, ntyp = 4
/
ATOMIC_SPECIES
Se 78.96 Se.upf
Y 88.91 Y.upf
Pb 207.20 Pb.upf
Te 127.60 Te.upf
CELL_PARAMETERS angstrom
-0.7862 -2.5319 3.3383
8.4034 -0.8587 1.3278
-1.7998 8.6968 3.4502
ATOMIC_POSITIONS angstrom
Se -0.4764 3.5769 5.3225
Y 6.1560 -0.6166 0.9821
Y -0.3385 5.9228 7.1342
Pb 2.0658 2.1932 2.1499
Se 6.2939 1.7293 2.7938
Y 3.8475 0.6572 4.1265
Pb 3.7516 3.1130 5.9664
Y 1.9700 4.6490 3.9899
Te -0.3931 -1.2660 1.6692
Y -0.4691 1.2104 3.5294
Y 6.2866 4.0959 4.5869
Se 3.8086 -1.6953 2.3331
```

# 3
First-principles (GGA-PBE) data for Y4TePb2Se after structural relaxation, as listed in Alexandria via LeMat-Bulk. Values from VASP.

Values from the calculation:
space-group type: No. 10
VASP energy: -6.023 eV/atom

Quantum ESPRESSO input file:
```
&SYSTEM
  ibrav = 0, nat = 8, ntyp = 4
/
ATOMIC_SPECIES
Pb 207.20 Pb.upf
Te 127.60 Te.upf
Y 88.91 Y.upf
Se 78.96 Se.upf
CELL_PARAMETERS angstrom
-2.0837 1.0163 -3.6663
5.1865 -3.7953 -3.9998
-2.2008 -7.1932 -0.7432
ATOMIC_POSITIONS angstrom
Pb -2.2008 -7.1932 -0.7432
Te 1.4928 -5.4943 -2.3715
Y 2.2041 -8.2924 -3.5515
Se 1.5514 -1.3895 -3.8331
Y 2.3300 -4.0862 -5.0232
Y -1.3021 -1.6798 -4.8579
Pb -2.1423 -3.0885 -2.2048
Y -1.4280 -5.8860 -3.3862
```

# 4
First-principles (GGA-PBE) data for Y6Te3PbSe2 after structural relaxation, as listed in Alexandria via LeMat-Bulk. Values from VASP.

Values from the calculation:
space-group type: No. 12
VASP energy: -6.268 eV/atom

Quantum ESPRESSO input file:
```
&SYSTEM
  ibrav = 0, nat = 12, ntyp = 4
/
ATOMIC_SPECIES
Y 88.91 Y.upf
Pb 207.20 Pb.upf
Se 78.96 Se.upf
Te 127.60 Te.upf
CELL_PARAMETERS angstrom
7.3809 0.0051 0.0000
-3.6843 6.3957 0.0000
-1.2331 -2.1351 7.1299
ATOMIC_POSITIONS angstrom
Y -0.0894 4.2619 5.5030
Y -1.2726 2.2131 1.6268
Pb 0.0000 0.0000 0.0000
Se -0.0084 4.2727 0.0000
Y 2.5529 0.0037 1.6268
Y 2.4150 4.1816 1.5979
Se 3.7050 2.1281 0.0000
Y 0.0485 0.0840 5.5320
Y 3.7362 2.0525 5.5030
Te 1.2318 2.1328 3.5649
Te 4.9714 -0.0269 3.5649
Te -2.5078 4.2926 3.5649
```